<P>
# GGA+U CuWSO, relaxed
# N(E_F) (states/eV/cell): 0.166
data_CuWSO
_chemical_formula_sum 'Cu4 W4 S4 O4'
_cell_length_a 11.591
_cell_length_b 3.203
_cell_length_c 7.644
_cell_angle_alpha 90.00
_cell_angle_beta 122.62
_cell_angle_gamma 90.00
_space_group_name_H-M_alt 'C 1 m 1'
_space_group_IT_number 8
_space_group_name_Hall 'C -2y'
loop_
_atom_site_label
_atom_site_type_symbol
_atom_site_fract_x
_atom_site_fract_y
_atom_site_fract_z
Cu1 Cu 0.000 0.000 0.000
Cu2 Cu 0.150 0.500 0.505
W1 W 0.336 0.000 0.246
W2 W 0.461 0.000 0.619
S1 S 0.147 0.000 0.728
S2 S 0.160 0.500 0.219
O1 O 0.381 0.500 0.690
O2 O 0.392 0.500 0.150

<Q>
# GGA+U CuWSO, relaxed
# N(E_F) (states/eV/cell): 2.046
data_CuWSO
_chemical_formula_sum 'Cu2 W2 S2 O2'
_cell_length_a 3.402
_cell_length_b 3.402
_cell_length_c 10.436
_cell_angle_alpha 90.00
_cell_angle_beta 90.00
_cell_angle_gamma 90.00
_space_group_name_H-M_alt 'P 4/n m m'
_space_group_IT_number 129
loop_
_space_group_symop_operation_xyz
'x,y,z'
'-x,-y,-z'
'-y+1/2,x,z'
'y+1/2,-x,-z'
'-x+1/2,-y+1/2,z'
'x+1/2,y+1/2,-z'
'y,-x+1/2,z'
'-y,x+1/2,-z'
'x+1/2,-y,-z'
'-x+1/2,y,z'
'-y,-x,-z'
'y,x,z'
'-x,y+1/2,-z'
'x,-y+1/2,z'
'y+1/2,x+1/2,-z'
'-y+1/2,-x+1/2,z'
loop_
_atom_site_label
_atom_site_type_symbol
_atom_site_fract_x
_atom_site_fract_y
_atom_site_fract_z
Cu1 Cu 0.250 0.750 0.000
W1 W 0.250 0.250 0.377
S1 S 0.250 0.250 0.755
O1 O 0.250 0.750 0.500

What is the stability order? It is <P>, <Q>, from most stable to least stable.